Crystalline MnAsPt at its relaxed geometry. Source: the Alexandria database, functional GGA-PBEsol.

Unit cell a=4.015 b=4.015 c=4.015 alpha=60.00 beta=60.00 gamma=60.00
Sites, in units of the cell vectors:
Mn  0.000  0.000  0.000
As  0.750  0.750  0.750
Pt  0.500  0.500  0.500

VASP energy ... -7.271 eV/atom
D(E_F) ... 4.10 states/eV per cell
Spin magnetization ... 1.7 μB/f.u.
Energy relative to the elements ... 0.01 eV/atom



Crystalline La2TlCd at its relaxed geometry. Source: the Alexandria database, functional GGA-PBEsol.

Unit cell a=3.843 b=3.843 c=7.940 alpha=90.00 beta=90.00 gamma=90.00
Sites, in units of the cell vectors:
La  0.000  0.000  0.246
La  0.000  0.000  0.754
Tl  0.500  0.500  0.500
Cd  0.500  0.500  0.000

VASP energy ... -4.012 eV/atom
D(E_F) ... 6.01 states/eV per cell
Spin magnetization ... 0.0 μB/f.u.
Energy relative to the elements ... -0.38 eV/atom



Crystalline CuWBr2 at its relaxed geometry. Source: the Alexandria database, functional GGA-PBEsol.

Unit cell a=4.847 b=4.847 c=7.254 alpha=109.72 beta=109.72 gamma=37.22
Sites, in units of the cell vectors:
Cu  0.000  0.000  0.000
W  0.274  0.274  0.001
Br  0.668  0.668  0.705
Br  0.832  0.832  0.297

VASP energy ... -5.005 eV/atom
D(E_F) ... 3.39 states/eV per cell
Spin magnetization ... 0.0 μB/f.u.



Crystalline CoIr2Rh at its relaxed geometry. Source: the Alexandria database, functional GGA-PBEsol.

Unit cell a=2.668 b=3.714 c=5.268 alpha=90.00 beta=90.00 gamma=90.00
Sites, in units of the cell vectors:
Co  0.000  0.000  0.000
Ir  0.000  0.000  0.498
Ir  0.500  0.500  0.241
Rh  0.500  0.500  0.756

VASP energy ... -8.866 eV/atom
D(E_F) ... 4.64 states/eV per cell
Spin magnetization ... 1.3 μB/f.u.
Energy relative to the elements ... 0.01 eV/atom